The following is a DFT calculation (PBE-GGA) of CaTc2PRh after structural relaxation.

Computed properties:
V: 19.27 Å³/atom
formation enthalpy at 0 K: 2.528 eV/f.u.
electronic total energy: -33.0 eV per cell

The structure in CIF format:
```
data_CaTc2PRh
_chemical_formula_sum 'Ca1 Tc2 P1 Rh1'
_symmetry_space_group_name_H-M 'P 4/m m m'
_symmetry_Int_Tables_number 123
_symmetry_space_group_name_Hall '-P 4 2'
_cell_length_a 4.366
_cell_length_b 4.366
_cell_length_c 5.056
_cell_angle_alpha 90.00
_cell_angle_beta 90.00
_cell_angle_gamma 90.00
loop_
_atom_site_label
_atom_site_type_symbol
_atom_site_fract_x
_atom_site_fract_y
_atom_site_fract_z
_atom_site_occupancy
Ca1 Ca 0.000 0.000 0.000 1
Tc1 Tc 0.000 0.500 0.500 1
P1 P 0.000 0.000 0.500 1
Rh1 Rh 0.500 0.500 0.000 1
```